12
Lattice="5.469 -2.577 0.000 5.469 2.577 0.000 -1.852 0.000 4.947" Properties=species:S:1:pos:R:3 comment="TmRhO4 PBE relaxed" e_form_raw_ev_per_fu=-10.5 e_tot_ev_per_atom=-7.02 pbc="T T T"
Tm 4.080 1.413 3.710
Tm 5.006 -1.413 1.237
Rh 2.735 1.289 0.000
Rh 1.809 -1.289 2.473
O 0.501 0.214 3.195
O 1.427 -0.214 0.721
O 4.354 0.406 0.183
O 3.428 -0.406 2.656
O 5.658 0.406 2.291
O 4.732 -0.406 4.764
O 7.660 0.214 4.225
O 8.586 -0.214 1.752

***

5
Lattice="5.155 0.000 0.000 0.000 5.155 0.000 0.000 0.000 4.912" Properties=species:S:1:pos:R:3 comment="NbSiSb2Se PBE relaxed" e_form_raw_ev_per_fu=4.1 e_tot_ev_per_atom=-4.62 pbc="T T T"
Nb 0.000 0.000 0.000
Si 0.000 0.000 2.456
Sb 0.000 2.578 2.456
Sb 2.578 0.000 2.456
Se 2.578 2.578 0.000

***

32
Lattice="6.136 0.000 0.000 1.148 8.854 0.000 1.204 2.887 8.850" Properties=species:S:1:pos:R:3 comment="Na2Sn2C3O6F3 PBE relaxed" e_form_raw_ev_per_fu=-27.0 e_tot_ev_per_atom=-6.29 pbc="T T T"
Na 1.313 2.651 1.132
Na 4.022 11.171 8.112
Na 4.466 0.570 0.738
Na 7.174 9.089 7.718
Sn 2.310 5.781 6.082
Sn 2.511 8.667 3.193
Sn 5.977 3.074 5.657
Sn 6.177 5.960 2.768
C 3.293 5.032 2.005
C 4.233 7.821 7.377
C 3.214 2.067 4.335
C 5.273 9.673 4.515
C 4.254 3.920 1.474
C 5.195 6.709 6.845
O 2.056 4.825 1.864
O 2.968 7.576 7.263
O 2.100 1.896 3.729
O 3.627 3.165 4.791
O 3.833 6.052 2.542
O 4.724 8.855 7.869
O 3.763 2.886 0.981
O 4.654 5.689 6.308
O 4.861 8.576 4.059
O 6.387 9.844 5.122
O 5.520 4.164 1.587
O 6.432 6.915 6.986
F 2.368 10.671 6.719
F 2.197 4.653 7.846
F 3.502 8.921 1.358
F 4.986 2.820 7.492
F 6.291 7.088 1.004
F 6.119 1.070 2.131

***

9
Lattice="4.356 0.000 0.000 -2.175 4.618 0.000 -0.019 -2.287 8.532" Properties=species:S:1:pos:R:3 comment="Li4Bi2Au3 PBE relaxed" formation_energy_ev_per_atom=-0.4096 e_tot_ev_per_atom=-3.22 pbc="T T T"
Li -0.004 -0.628 2.963
Li 0.002 2.930 1.033
Li 2.161 -0.599 7.498
Li 2.167 2.959 5.569
Bi -0.017 1.170 6.641
Bi 2.180 1.161 1.890
Au 0.000 0.000 0.000
Au 0.002 2.154 3.785
Au 2.161 0.177 4.746

***

- What is the formula in the fourth record?
  Li4Bi2Au3